[1]
The following is a PBE calculation of a geometry-optimized CeHoPuRu structure, from Alexandria via LeMat-Bulk.

Properties
Total DFT energy (no corrections): -135.642 eV/cell

a b c (Å): 7.1331 7.1331 7.1331
angles (deg): 90.00 90.00 90.00
Closest atoms and distances in Å follow each position.
Space group F-43m (No. 216)
Symmetry-distinct sites (fractional):
Ce (0.0000, 0.0000, 0.0000) (multiplicity 4)  4 Ru 3.09, 4 Pu 3.09
Ho (0.0000, 0.0000, 0.5000) (multiplicity 4)  4 Ru 3.09, 4 Pu 3.09
Pu (0.2500, 0.2500, 0.7500) (multiplicity 4)  4 Ce 3.09, 4 Ho 3.09
Ru (0.2500, 0.2500, 0.2500) (multiplicity 4)  4 Ho 3.09, 4 Ce 3.09

---

[2]
The following is a PBE calculation of a geometry-optimized Ce3Ho2PuS6 structure, from Alexandria via LeMat-Bulk.

Properties
Raw formation energy: -23.9 eV per formula unit

a b c (Å): 6.8331 11.8468 6.9034
angles (deg): 90.00 109.29 90.00
Closest atoms and distances in Å follow each position.
Space group C2/m (No. 12)
Symmetry-distinct sites (fractional):
Ce (0.0000, 0.0000, 0.0000) (multiplicity 2)  6 S 2.83-2.85
Ce (0.0000, 0.3340, 0.0000) (multiplicity 4)  6 S 2.83-2.85
Ho (0.0000, 0.1667, 0.5000) (multiplicity 4)  6 S 2.75
Pu (0.0000, 0.5000, 0.5000) (multiplicity 2)  6 S 2.78
S (0.2428, 0.0000, 0.7382) (multiplicity 4)  2 Ho 2.75, 1 Pu 2.78, 3 Ce 2.83-2.85
S (0.2481, 0.3318, 0.7395) (multiplicity 8)  2 Ho 2.75, 1 Pu 2.78, 3 Ce 2.83-2.85

---

Asked for calculated density across the records above, the calculation gives 11.90, 7.47 g/cm3 in order.